Record 1
Crystalline Ti5Al2Ga2 at its relaxed geometry. Source: Alexandria via LeMat-Bulk, functional PBE-GGA.

Cell and atoms, written as POSCAR:
```
Ti5Al2Ga2
1.0
7.763 0.000 0.000
0.000 5.094 0.000
-3.881 -2.547 7.591
Ti Ga Al
10 4 4
direct
0.712 0.820 0.677
0.841 0.323 0.183
0.841 0.823 0.183
0.159 0.640 0.817
0.536 0.643 0.323
0.270 0.732 0.500
0.159 0.140 0.817
0.730 0.232 0.500
0.464 0.320 0.677
0.288 0.143 0.323
0.000 0.982 0.000
0.916 0.732 0.500
0.084 0.232 0.500
0.500 0.482 0.000
0.846 0.409 0.854
0.154 0.555 0.146
0.492 0.055 0.146
0.508 0.909 0.854
```

Summary:
- E_form (eV per formula unit) = -2.75
- M_tot (μB/cell) = 1.1
- raw total energy (eV/atom) = -6.196

Record 2
Crystalline Ti5AlGa3 at its relaxed geometry. Source: Alexandria via LeMat-Bulk, functional PBE-GGA.

Cell and atoms, written as POSCAR:
```
Ti5AlGa3
1.0
-4.788 -2.581 2.271
1.560 -5.679 -0.251
3.400 -0.591 9.283
Ti Ga Al
10 6 2
direct
0.983 0.603 0.656
0.529 0.529 0.708
0.667 0.333 0.000
0.017 0.397 0.344
0.603 0.983 0.656
0.333 0.667 0.000
0.397 0.017 0.344
0.280 0.280 0.845
0.471 0.471 0.292
0.720 0.720 0.155
0.750 0.750 0.886
0.700 0.700 0.452
0.250 0.250 0.114
0.300 0.300 0.548
0.000 0.000 0.000
0.000 0.000 0.500
0.033 0.033 0.744
0.967 0.967 0.256
```

Summary:
- energy above the most stable polymorph in this dataset (kcal/mol of atoms) = 11.74
- E_form (eV per formula unit) = 0.84
- M_tot (μB/cell) = 0.0
- raw total energy (eV/atom) = -5.717

Record 3
Crystalline Ti5AlGa3 at its relaxed geometry. Source: Alexandria via LeMat-Bulk, functional PBE-GGA.

Cell and atoms, written as POSCAR:
```
Ti5AlGa3
1.0
-0.017 -5.304 1.112
7.391 0.522 2.603
-5.995 1.060 4.962
Ga Ti Al
6 10 2
direct
0.750 0.635 0.635
0.750 0.000 0.365
0.250 0.365 0.365
0.250 0.635 0.000
0.250 0.000 0.635
0.750 0.365 0.000
0.250 0.697 0.697
0.250 0.000 0.303
0.750 0.303 0.303
0.000 0.667 0.333
0.500 0.333 0.667
0.000 0.333 0.667
0.250 0.303 0.000
0.500 0.667 0.333
0.750 0.697 0.000
0.750 0.000 0.697
0.500 0.000 0.000
0.000 0.000 0.000
```

Summary:
- energy above the most stable polymorph in this dataset (kcal/mol of atoms) = 0.00
- E_form (eV per formula unit) = -3.74
- M_tot (μB/cell) = 0.0
- raw total energy (eV/atom) = -6.226

Record 4
Crystalline Ti7Al2Ga2 at its relaxed geometry. Source: Alexandria via LeMat-Bulk, functional PBE-GGA.

Cell and atoms, written as POSCAR:
```
Ti7Al2Ga2
1.0
5.708 -0.003 -0.814
0.002 6.498 0.004
-1.168 -0.001 5.647
Ga Ti Al
2 7 2
direct
0.292 0.000 0.708
0.708 0.000 0.292
0.500 0.268 0.500
0.000 0.296 0.500
0.000 0.704 0.500
0.000 0.000 0.000
0.500 0.704 0.000
0.500 0.296 0.000
0.500 0.732 0.500
0.180 0.500 0.180
0.820 0.500 0.820
```

Summary:
- E_form (eV per formula unit) = 1.32
- M_tot (μB/cell) = 1.2
- raw total energy (eV/atom) = -6.135

Record 5
Crystalline Ti9AlGa2 at its relaxed geometry. Source: Alexandria via LeMat-Bulk, functional PBE-GGA.

Cell and atoms, written as POSCAR:
```
Ti9AlGa2
1.0
4.028 0.000 0.000
0.000 4.028 0.000
0.000 0.000 12.091
Ti Ga Al
9 2 1
direct
0.000 0.500 0.500
0.500 0.500 0.334
0.500 0.500 0.000
0.500 0.000 0.500
0.000 0.500 0.832
0.500 0.000 0.832
0.500 0.000 0.168
0.000 0.500 0.168
0.500 0.500 0.666
0.000 0.000 0.666
0.000 0.000 0.334
0.000 0.000 0.000
```

Summary:
- E_form (eV per formula unit) = -3.54
- M_tot (μB/cell) = 0.0
- raw total energy (eV/atom) = -7.032

Record 6
Crystalline Ti4AlGa5 at its relaxed geometry. Source: Alexandria via LeMat-Bulk, functional PBE-GGA.

Cell and atoms, written as POSCAR:
```
Ti4AlGa5
1.0
5.393 0.000 0.000
2.697 5.640 0.000
2.697 0.000 5.640
Ti Ga Al
4 5 1
direct
0.520 0.623 0.242
0.762 0.758 0.623
0.142 0.242 0.377
0.385 0.377 0.758
0.694 0.161 0.355
0.209 0.839 0.645
0.049 0.645 0.161
0.670 0.000 0.000
0.855 0.355 0.839
0.224 0.000 0.000
```

Summary:
- E_form (eV per formula unit) = -1.19
- M_tot (μB/cell) = 0.0
- raw total energy (eV/atom) = -5.164